(1)
PBE Zn2FePt, optimized geometry; E_tot = -4.451 eV/atom
1.0
4.704 -0.001 0.010
3.897 2.635 0.010
0.872 0.267 4.520
Fe Pt Zn
1 1 2
Cartesian
4.753 1.456 2.281
2.338 0.716 1.142
8.585 2.629 0.030
7.135 2.185 3.377

(2)
PBE Zn3FePt6, optimized geometry; E_tot = -5.206 eV/atom
1.0
-3.308 2.364 1.895
-2.208 -5.994 3.624
6.583 5.186 5.023
Zn Fe Pt
6 2 12
Cartesian
0.414 -0.762 4.328
0.652 2.317 6.213
3.481 2.403 5.735
-2.415 -0.847 4.807
3.881 1.007 8.175
-2.815 0.548 2.367
0.837 -2.191 6.850
0.230 3.747 3.692
-1.354 -1.809 2.548
2.421 3.365 7.994
-0.030 0.555 1.910
1.097 1.001 8.632
2.111 0.075 6.246
-1.044 1.481 4.295
1.802 1.570 3.843
-0.735 -0.014 6.699
-0.814 -3.044 5.031
1.880 4.599 5.510
4.702 4.639 5.077
-3.636 -3.083 5.464

(3)
PBE ZnFe2Pt8, optimized geometry; E_tot = -6.285 eV/atom
1.0
-3.566 -1.289 -1.053
0.976 -5.271 3.145
-1.164 5.055 5.110
Zn Fe Pt
1 2 8
Cartesian
-1.783 -0.644 -0.526
-3.049 -0.102 3.097
-0.705 -1.402 4.105
-1.838 0.689 5.384
-1.956 -3.876 4.015
-3.108 -1.719 5.277
-4.190 1.919 4.488
-0.646 0.215 1.926
-1.798 2.372 3.187
-1.916 -2.193 1.819
0.436 -3.423 2.714

Number 1: DOS(E_F) 2.1 states/eV per cell. Number 2: DOS(E_F) 12.7 states/eV per cell. Number 3: DOS(E_F) 9.7 states/eV per cell.